Below is crystalline AsCl3 at its relaxed geometry, with properties calculated at the PBE-GGA level.

Lattice parameters (Å, degrees): 5.0051 7.2257 8.9480 90.00 90.00 90.00
Space group Pmmn (No. 59, origin choice 2)
Symmetry-distinct sites (fractional):
1 As 0.2500 0.2500 0.1620 [2 per cell]
2 Cl 0.2500 0.0191 0.3189 [4 per cell]
3 Cl 0.2500 0.7500 0.8975 [2 per cell]

Results
Formation energy (no corrections): -0.66 eV per atom

=====

Below is crystalline AsCl2 at its relaxed geometry, with properties calculated at the PBE-GGA level.

Lattice parameters (Å, degrees): 3.2115 3.2115 14.2060 90.00 90.00 90.00
Space group I4/mmm (No. 139)
Symmetry-distinct sites (fractional):
1 As 0.0000 0.0000 0.0000 [2 per cell]
2 Cl 0.0000 0.0000 0.3815 [4 per cell]

Results
Formation energy (no corrections): 0.12 eV per atom

=====

Below is crystalline CoAsCl2 at its relaxed geometry, with properties calculated at the PBE-GGA level.

Lattice parameters (Å, degrees): 5.9158 7.6593 4.5265 90.00 130.62 90.00
Space group C2/m (No. 12)
Symmetry-distinct sites (fractional):
1 Co 0.0000 0.0000 0.0000 [2 per cell]
2 As 0.0000 0.5000 0.0000 [2 per cell]
3 Cl 0.2500 0.2500 0.5000 [4 per cell]

Results
Formation energy (no corrections): 0.31 eV per atom

=====

Below is crystalline CoAs2Cl at its relaxed geometry, with properties calculated at the PBE-GGA level.

Lattice parameters (Å, degrees): 3.6792 3.6792 19.3639 90.00 90.00 120.00
Space group R-3m (No. 166, hexagonal axes)
Symmetry-distinct sites (fractional):
1 Co 0.0000 0.0000 0.0000 [3 per cell]
2 As 0.0000 0.0000 0.2803 [6 per cell]
3 Cl 0.0000 0.0000 0.5000 [3 per cell]

Results
Formation energy (no corrections): -0.06 eV per atom

=====

Below is crystalline Co2AsCl at its relaxed geometry, with properties calculated at the PBE-GGA level.

Lattice parameters (Å, degrees): 3.1529 3.4259 11.8315 90.00 90.00 90.00
Space group Imm2 (No. 44)
Symmetry-distinct sites (fractional):
1 Co 0.0000 0.0000 0.0000 [2 per cell]
2 Co 0.0000 0.5000 0.3239 [2 per cell]
3 As 0.0000 0.0000 0.4552 [2 per cell]
4 Cl 0.0000 0.0000 0.1912 [2 per cell]

Results
Formation energy (no corrections): -0.04 eV per atom

=====

Below is crystalline CoAs2Cl at its relaxed geometry, with properties calculated at the PBE-GGA level.

Lattice parameters (Å, degrees): 4.5880 9.5330 3.2276 90.00 90.00 90.00
Space group Cmmm (No. 65)
Symmetry-distinct sites (fractional):
1 Co 0.0000 0.0000 0.0000 [2 per cell]
2 As 0.0000 0.1821 0.5000 [4 per cell]
3 Cl 0.0000 0.5000 0.0000 [2 per cell]

Results
Formation energy (no corrections): -0.15 eV per atom

=====

Below is crystalline CoAs2Cl at its relaxed geometry, with properties calculated at the PBE-GGA level.

Lattice parameters (Å, degrees): 2.9039 4.5057 10.7601 90.00 90.00 90.00
Space group Immm (No. 71)
Symmetry-distinct sites (fractional):
1 Co 0.0000 0.0000 0.0000 [2 per cell]
2 As 0.0000 0.5000 0.3117 [4 per cell]
3 Cl 0.0000 0.0000 0.5000 [2 per cell]

Results
Formation energy (no corrections): 0.24 eV per atom

=====

Below is crystalline CoAs2Cl at its relaxed geometry, with properties calculated at the PBE-GGA level.

Lattice parameters (Å, degrees): 4.1098 4.1191 8.7834 90.00 90.00 90.00
Space group Cmm2 (No. 35)
Symmetry-distinct sites (fractional):
1 Co 0.0000 0.0000 0.0000 [2 per cell]
2 As 0.0000 0.0000 0.5622 [2 per cell]
3 As 0.0000 0.5000 0.8364 [2 per cell]
4 Cl 0.0000 0.5000 0.1765 [2 per cell]

Results
Formation energy (no corrections): 0.25 eV per atom

=====

Below is crystalline CoAsCl2 at its relaxed geometry, with properties calculated at the PBE-GGA level.

Lattice parameters (Å, degrees): 6.6669 6.8997 3.1014 90.00 90.00 90.00
Space group Cmmm (No. 65)
Symmetry-distinct sites (fractional):
1 Co 0.0000 0.0000 0.0000 [2 per cell]
2 As 0.0000 0.5000 0.0000 [2 per cell]
3 Cl 0.2500 0.2500 0.5000 [4 per cell]

Results
Formation energy (no corrections): 0.65 eV per atom

=====

Below is crystalline Co2AsCl at its relaxed geometry, with properties calculated at the PBE-GGA level.

Lattice parameters (Å, degrees): 6.2050 6.2050 6.2050 90.00 90.00 90.00
Space group F-43m (No. 216)
Symmetry-distinct sites (fractional):
1 Co 0.0000 0.0000 0.0000 [4 per cell]
2 Co 0.2500 0.2500 0.2500 [4 per cell]
3 As 0.0000 0.0000 0.5000 [4 per cell]
4 Cl 0.2500 0.2500 0.7500 [4 per cell]

Results
Formation energy (no corrections): 0.84 eV per atom

=====

Below is crystalline CoAsCl at its relaxed geometry, with properties calculated at the PBE-GGA level.

Lattice parameters (Å, degrees): 3.4500 3.4500 5.3906 90.00 90.00 120.00
Space group P3m1 (No. 156)
Symmetry-distinct sites (fractional):
1 Co 0.0000 0.0000 0.0000 [1 per cell]
2 As 0.6667 0.3333 0.2082 [1 per cell]
3 Cl 0.3333 0.6667 0.7314 [1 per cell]

Results
Formation energy (no corrections): -0.17 eV per atom

=====

Below is crystalline CoAsCl2 at its relaxed geometry, with properties calculated at the PBE-GGA level.

Lattice parameters (Å, degrees): 3.3946 3.3946 23.9835 90.00 90.00 120.00
Space group R-3m (No. 166, hexagonal axes)
Symmetry-distinct sites (fractional):
1 Co 0.0000 0.0000 0.0000 [3 per cell]
2 As 0.0000 0.0000 0.5000 [3 per cell]
3 Cl 0.0000 0.0000 0.3919 [6 per cell]

Results
Formation energy (no corrections): -0.02 eV per atom

=====

Below is crystalline CoAsCl at its relaxed geometry, with properties calculated at the PBE-GGA level.

Lattice parameters (Å, degrees): 2.9312 2.9312 13.2831 90.00 90.00 90.00
Space group I4mm (No. 107)
Symmetry-distinct sites (fractional):
1 Co 0.0000 0.0000 0.0000 [2 per cell]
2 As 0.0000 0.0000 0.6090 [2 per cell]
3 Cl 0.0000 0.0000 0.3831 [2 per cell]

Results
Formation energy (no corrections): 0.08 eV per atom

=====

Below is crystalline CoAs2Cl at its relaxed geometry, with properties calculated at the PBE-GGA level.

Lattice parameters (Å, degrees): 4.8939 4.8939 2.8350 90.00 90.00 90.00
Space group P4/mmm (No. 123)
Symmetry-distinct sites (fractional):
1 Co 0.0000 0.0000 0.0000 [1 per cell]
2 As 0.0000 0.5000 0.5000 [2 per cell]
3 Cl 0.5000 0.5000 0.0000 [1 per cell]

Results
Formation energy (no corrections): 0.60 eV per atom

=====

Below is crystalline Co2AsCl at its relaxed geometry, with properties calculated at the PBE-GGA level.

Lattice parameters (Å, degrees): 3.5477 3.5487 6.1276 90.00 90.13 90.00
Space group Pm (No. 6)
Symmetry-distinct sites (fractional):
1 Co 0.0000 0.0000 0.0000 [1 per cell]
2 Co 0.5002 0.5000 0.9998 [1 per cell]
3 As 0.0013 0.5000 0.2516 [1 per cell]
4 Cl 0.4990 0.0000 0.7477 [1 per cell]

Results
Formation energy (no corrections): -0.01 eV per atom

=====

Below is crystalline CoAs2Cl at its relaxed geometry, with properties calculated at the PBE-GGA level.

Lattice parameters (Å, degrees): 5.8105 5.8105 11.0752 90.00 90.00 90.00
Space group I-42d (No. 122)
Symmetry-distinct sites (fractional):
1 Co 0.0000 0.0000 0.0000 [4 per cell]
2 As 0.1416 0.2500 0.1250 [8 per cell]
3 Cl 0.0000 0.0000 0.5000 [4 per cell]

Results
Formation energy (no corrections): 0.04 eV per atom

=====

Below is crystalline CoAs2Cl at its relaxed geometry, with properties calculated at the PBE-GGA level.

Lattice parameters (Å, degrees): 3.2207 3.9152 12.9089 90.00 90.00 90.00
Space group Imm2 (No. 44)
Symmetry-distinct sites (fractional):
1 Co 0.0000 0.0000 0.0000 [2 per cell]
2 As 0.0000 0.0000 0.5224 [2 per cell]
3 As 0.0000 0.5000 0.6471 [2 per cell]
4 Cl 0.0000 0.5000 0.3528 [2 per cell]

Results
Formation energy (no corrections): 0.02 eV per atom

=====

Below is crystalline CoAs2Cl at its relaxed geometry, with properties calculated at the PBE-GGA level.

Lattice parameters (Å, degrees): 5.6730 7.9778 2.9909 90.00 90.00 90.00
Space group Cmmm (No. 65)
Symmetry-distinct sites (fractional):
1 Co 0.0000 0.0000 0.0000 [2 per cell]
2 As 0.2500 0.2500 0.5000 [4 per cell]
3 Cl 0.0000 0.5000 0.0000 [2 per cell]

Results
Formation energy (no corrections): 0.62 eV per atom

=====

Below is crystalline Co2AsCl at its relaxed geometry, with properties calculated at the PBE-GGA level.

Lattice parameters (Å, degrees): 2.8662 3.7121 6.2493 90.00 90.00 90.00
Space group Pmmm (No. 47)
Symmetry-distinct sites (fractional):
1 Co 0.0000 0.0000 0.0000 [1 per cell]
2 Co 0.5000 0.0000 0.5000 [1 per cell]
3 As 0.0000 0.5000 0.5000 [1 per cell]
4 Cl 0.5000 0.5000 0.0000 [1 per cell]

Results
Formation energy (no corrections): 0.42 eV per atom

=====

Below is crystalline CoAsCl at its relaxed geometry, with properties calculated at the PBE-GGA level.

Lattice parameters (Å, degrees): 5.8846 5.8846 5.8846 90.00 90.00 90.00
Space group F-43m (No. 216)
Symmetry-distinct sites (fractional):
1 Co 0.0000 0.0000 0.0000 [4 per cell]
2 As 0.2500 0.2500 0.7500 [4 per cell]
3 Cl 0.2500 0.2500 0.2500 [4 per cell]

Results
Formation energy (no corrections): 0.25 eV per atom

=====

Below is crystalline CoAsCl at its relaxed geometry, with properties calculated at the PBE-GGA level.

Lattice parameters (Å, degrees): 4.6081 4.8352 8.7454 90.00 90.00 90.00
Space group Imma (No. 74)
Symmetry-distinct sites (fractional):
1 Co 0.0000 0.2500 0.0943 [4 per cell]
2 As 0.0000 0.2500 0.8332 [4 per cell]
3 Cl 0.0000 0.2500 0.3738 [4 per cell]

Results
Formation energy (no corrections): -0.13 eV per atom

=====

Below is crystalline Co2AsCl at its relaxed geometry, with properties calculated at the PBE-GGA level.

Lattice parameters (Å, degrees): 5.9978 5.9978 5.9978 90.00 90.00 90.00
Space group Fm-3m (No. 225)
Symmetry-distinct sites (fractional):
1 Co 0.2500 0.2500 0.2500 [8 per cell]
2 As 0.0000 0.0000 0.0000 [4 per cell]
3 Cl 0.0000 0.0000 0.5000 [4 per cell]

Results
Formation energy (no corrections): 0.44 eV per atom

=====

Below is crystalline Co2AsCl at its relaxed geometry, with properties calculated at the PBE-GGA level.

Lattice parameters (Å, degrees): 2.9256 5.9009 7.3920 90.00 90.00 90.00
Space group Immm (No. 71)
Symmetry-distinct sites (fractional):
1 Co 0.0000 0.0000 0.2370 [4 per cell]
2 As 0.0000 0.5000 0.5000 [2 per cell]
3 Cl 0.0000 0.5000 0.0000 [2 per cell]

Results
Formation energy (no corrections): 0.40 eV per atom

=====

Below is crystalline Co2AsCl at its relaxed geometry, with properties calculated at the PBE-GGA level.

Lattice parameters (Å, degrees): 2.9857 2.9857 28.2446 90.00 90.00 120.00
Space group R3m (No. 160, hexagonal axes)
Symmetry-distinct sites (fractional):
1 Co 0.0000 0.0000 0.0000 [3 per cell]
2 Co 0.0000 0.0000 0.2652 [3 per cell]
3 As 0.0000 0.0000 0.7259 [3 per cell]
4 Cl 0.0000 0.0000 0.5437 [3 per cell]

Results
Formation energy (no corrections): 0.12 eV per atom

=====

Below is crystalline CoAsCl2 at its relaxed geometry, with properties calculated at the PBE-GGA level.

Lattice parameters (Å, degrees): 3.4303 3.4303 7.7992 90.00 90.00 90.00
Space group P4mm (No. 99)
Symmetry-distinct sites (fractional):
1 Co 0.0000 0.0000 0.0000 [1 per cell]
2 As 0.5000 0.5000 0.9623 [1 per cell]
3 Cl 0.0000 0.0000 0.2705 [1 per cell]
4 Cl 0.5000 0.5000 0.6779 [1 per cell]

Results
Formation energy (no corrections): -0.16 eV per atom

=====

Below is crystalline CoAsCl2 at its relaxed geometry, with properties calculated at the PBE-GGA level.

Lattice parameters (Å, degrees): 3.0254 5.9040 11.0223 90.00 90.00 90.00
Space group Cmmm (No. 65)
Symmetry-distinct sites (fractional):
1 Co 0.0000 0.0000 0.0000 [2 per cell]
2 As 0.0000 0.0000 0.5000 [2 per cell]
3 Cl 0.0000 0.5000 0.1426 [4 per cell]

Results
Formation energy (no corrections): 0.16 eV per atom

=====

Below is crystalline CoAsCl2 at its relaxed geometry, with properties calculated at the PBE-GGA level.

Lattice parameters (Å, degrees): 4.5899 3.4805 5.1688 90.00 111.07 90.00
Space group Pm (No. 6)
Symmetry-distinct sites (fractional):
1 Co 0.0000 0.0000 0.0000 [1 per cell]
2 As 0.1538 0.5000 0.2985 [1 per cell]
3 Cl 0.4819 0.0000 0.9237 [1 per cell]
4 Cl 0.8397 0.5000 0.5902 [1 per cell]

Results
Formation energy (no corrections): -0.22 eV per atom

=====

Below is crystalline CoAs3Cl at its relaxed geometry, with properties calculated at the PBE-GGA level.

Lattice parameters (Å, degrees): 4.8028 4.8028 4.8028 90.00 90.00 90.00
Space group Pm-3m (No. 221)
Symmetry-distinct sites (fractional):
1 Co 0.0000 0.0000 0.0000 [1 per cell]
2 As 0.0000 0.5000 0.5000 [3 per cell]
3 Cl 0.5000 0.5000 0.5000 [1 per cell]

Results
Formation energy (no corrections): 1.45 eV per atom

=====

Below is crystalline Co2AsCl at its relaxed geometry, with properties calculated at the PBE-GGA level.

Lattice parameters (Å, degrees): 2.9775 2.9775 7.5469 90.00 90.00 90.00
Space group P4mm (No. 99)
Symmetry-distinct sites (fractional):
1 Co 0.0000 0.0000 0.0000 [1 per cell]
2 Co 0.5000 0.5000 0.2003 [1 per cell]
3 As 0.0000 0.0000 0.3671 [1 per cell]
4 Cl 0.5000 0.5000 0.8144 [1 per cell]

Results
Formation energy (no corrections): 0.06 eV per atom

=====

Below is crystalline CoAs2Cl at its relaxed geometry, with properties calculated at the PBE-GGA level.

Lattice parameters (Å, degrees): 6.3453 3.6650 7.3476 90.00 106.80 90.00
Space group C2/m (No. 12)
Symmetry-distinct sites (fractional):
1 Co 0.0000 0.0000 0.0000 [2 per cell]
2 As 0.1167 0.5000 0.8516 [4 per cell]
3 Cl 0.0000 0.5000 0.5000 [2 per cell]

Results
Formation energy (no corrections): -0.20 eV per atom

=====

The evaluated E for the records listed, in turn: -3.21 -2.66 -3.55 -4.63 -5.22 -4.71 -4.32 -4.31 -3.21 -4.34 -4.70 -3.88 -4.45 -3.97 -5.18 -4.52 -4.55 -3.94 -4.76 -4.28 -4.66 -4.74 -4.78 -5.06 -4.02 -3.71 -4.09 -3.13 -5.12 -4.76 eV per atom.